1.
# LaHo, optimized geometry, DFT PBE
# E_tot	-4.6738	eV per atom
# ΔH_f (0 K)	0.16	eV/f.u.
# energy above the lowest structure with this stoichiometry	0.0615	eV per atom
data_LaHo
_cell_length_a 4.097
_cell_length_b 4.097
_cell_length_c 4.097
_cell_angle_alpha 90.00
_cell_angle_beta 90.00
_cell_angle_gamma 90.00
_symmetry_space_group_name_H-M 'P m -3 m'
_symmetry_Int_Tables_number 221
_symmetry_space_group_name_Hall '-P 4 2 3'
loop_
_atom_site_label
_atom_site_fract_x
_atom_site_fract_y
_atom_site_fract_z
La1 0.000 0.000 0.000
Ho1 0.500 0.500 0.500

2.
# La3Ho, optimized geometry, DFT PBE
# E_tot	-4.8330	eV per atom
# ΔH_f (0 K)	0.03	eV/f.u.
data_La3Ho
_cell_length_a 5.197
_cell_length_b 5.197
_cell_length_c 5.197
_cell_angle_alpha 90.00
_cell_angle_beta 90.00
_cell_angle_gamma 90.00
_symmetry_space_group_name_H-M 'P m -3 m'
_symmetry_Int_Tables_number 221
_symmetry_space_group_name_Hall '-P 4 2 3'
loop_
_atom_site_label
_atom_site_fract_x
_atom_site_fract_y
_atom_site_fract_z
La1 0.000 0.000 0.500
Ho1 0.500 0.500 0.500

3.
# LaHo4, optimized geometry, DFT PBE
# E_tot	-4.6182	eV per atom
# ΔH_f (0 K)	0.15	eV/f.u.
# energy above the lowest structure with this stoichiometry	0.0000	eV per atom
data_LaHo4
_cell_length_a 3.580
_cell_length_b 5.033
_cell_length_c 17.898
_cell_angle_alpha 90.00
_cell_angle_beta 90.00
_cell_angle_gamma 90.00
_symmetry_space_group_name_H-M 'I m m m'
_symmetry_Int_Tables_number 71
_symmetry_space_group_name_Hall '-I 2 2'
loop_
_atom_site_label
_atom_site_fract_x
_atom_site_fract_y
_atom_site_fract_z
La1 0.000 0.000 0.000
Ho1 0.000 0.000 0.201
Ho2 0.000 0.000 0.396